The following is a PBE calculation of an optimized crystal structure of Ca3PuSb3, from the Alexandria database. Values from VASP.

crystal system	cubic
DFT total energy	-5.580	eV per atom
E_form (uncorrected)	-908	meV/atom
Fermi-level density of states	2.33	states/eV/atom
size of the total moment	5.02	μB/f.u.
theoretical density	5698	kg/m3
excess energy over the best structure of this formula in the dataset	0.000	eV/atom

Cell and atoms, written as Quantum ESPRESSO input:
```
&SYSTEM
  ibrav = 0, nat = 28, ntyp = 3
/
ATOMIC_SPECIES
Ca 40.08 Ca.upf
Pu 244.00 Pu.upf
Sb 121.76 Sb.upf
CELL_PARAMETERS angstrom
9.474 0.000 0.000
0.000 9.474 0.000
0.000 0.000 9.474
ATOMIC_POSITIONS crystal
Ca 0.824 0.324 0.176
Ca 0.930 0.930 0.930
Ca 0.824 0.676 0.324
Ca 0.176 0.824 0.324
Ca 0.176 0.176 0.176
Ca 0.324 0.824 0.676
Ca 0.070 0.430 0.570
Ca 0.324 0.176 0.824
Ca 0.676 0.324 0.824
Ca 0.676 0.676 0.676
Ca 0.570 0.070 0.430
Ca 0.430 0.570 0.070
Pu 0.073 0.573 0.927
Pu 0.927 0.073 0.573
Pu 0.427 0.427 0.427
Pu 0.573 0.927 0.073
Sb 0.753 0.630 0.999
Sb 0.870 0.001 0.253
Sb 0.999 0.753 0.630
Sb 0.130 0.501 0.247
Sb 0.247 0.130 0.501
Sb 0.253 0.870 0.001
Sb 0.001 0.253 0.870
Sb 0.370 0.499 0.747
Sb 0.501 0.247 0.130
Sb 0.630 0.999 0.753
Sb 0.747 0.370 0.499
Sb 0.499 0.747 0.370
```